Material: Si3Te
Method: DFT, GGA-PBE
State: optimized geometry

## Properties
- polymorph energy (0 for the lowest one) (meV per atom) = 129
- total magnetization (μB/f.u.) = 0.00
- density of states at the Fermi level (states/eV/cell) = 3.1
- energy relative to the elements, uncorrected (eV per formula unit) = 1.6

Cell lengths 4.9347, 5.1647, 6.6109 Å; angles 90.00, 90.00, 90.00 degrees
With the nearest neighbours (Å) after each atom.
Element x y z (fractional)
Si1 0.2480 0.5000 0.0204  5 Si 2.45-2.60
Si2 0.7480 0.0000 0.9796  5 Si 2.45-2.60
Te1 0.0000 0.0000 0.5639  6 Si 2.70-3.02
Si3 0.2520 0.0000 0.9796  5 Si 2.45-2.60
Te2 0.5000 0.5000 0.4361  6 Si 2.70-3.02
Si4 0.7520 0.5000 0.0204  5 Si 2.45-2.60
Si5 0.0000 0.5000 0.6844  2 Si 2.54, 2 Te 2.70
Si6 0.5000 0.0000 0.3156  2 Si 2.54, 2 Te 2.70